one:
The following is a GGA-PBE calculation of a relaxed structure of Eu2ThMg, from the Alexandria database.

```
data_Eu2ThMg
_chemical_formula_sum 'Eu2 Th1 Mg1'
_space_group_name_H-M_alt 'P 4/m m m'
_space_group_IT_number 123
_space_group_name_Hall '-P 4 2'
_cell_length_a 3.612
_cell_length_b 3.612
_cell_length_c 10.290
_cell_angle_alpha 90.00
_cell_angle_beta 90.00
_cell_angle_gamma 90.00
loop_
_atom_site_label
_atom_site_type_symbol
_atom_site_fract_x
_atom_site_fract_y
_atom_site_fract_z
_atom_site_occupancy
Eu1 Eu 0.000 0.000 0.239 1
Th1 Th 0.500 0.500 0.500 1
Mg1 Mg 0.500 0.500 0.000 1
```

Calculated values
D(E_F): 1.18 states/eV per atom

two:
The following is a GGA-PBE calculation of a relaxed structure of Eu2ThMg, from the Alexandria database.

```
data_Eu2ThMg
_chemical_formula_sum 'Eu6 Th3 Mg3'
_space_group_name_H-M_alt 'R -3 m'
_space_group_IT_number 166
_space_group_name_Hall '-R 3 2"'
_cell_length_a 3.4858
_cell_length_b 3.4858
_cell_length_c 38.3378
_cell_angle_alpha 90.00
_cell_angle_beta 90.00
_cell_angle_gamma 120.00
loop_
_atom_site_label
_atom_site_type_symbol
_atom_site_fract_x
_atom_site_fract_y
_atom_site_fract_z
_atom_site_occupancy
Eu1 Eu 0.0000 0.0000 0.0911 1
Th1 Th 0.0000 0.0000 0.0000 1
Mg1 Mg 0.0000 0.0000 0.5000 1
```

Calculated values
D(E_F): 1.13 states/eV per atom

Bottom line: one, by a margin of 156 meV/atom.

one:
The following is a GGA-PBE calculation of a relaxed structure of EuThMg2, from the Alexandria database.

```
data_EuThMg2
_chemical_formula_sum 'Eu3 Th3 Mg6'
_space_group_name_H-M_alt 'R -3 m'
_space_group_IT_number 166
_space_group_name_Hall '-R 3 2"'
_cell_length_a 3.4413
_cell_length_b 3.4413
_cell_length_c 35.0724
_cell_angle_alpha 90.00
_cell_angle_beta 90.00
_cell_angle_gamma 120.00
loop_
_atom_site_label
_atom_site_type_symbol
_atom_site_fract_x
_atom_site_fract_y
_atom_site_fract_z
_atom_site_occupancy
Eu1 Eu 0.0000 0.0000 0.0000 1
Th1 Th 0.0000 0.0000 0.5000 1
Mg1 Mg 0.0000 0.0000 0.2495 1
```

Calculated values
D(E_F): 0.94 states/eV per atom

two:
The following is a GGA-PBE calculation of a relaxed structure of EuThMg2, from the Alexandria database.

```
data_EuThMg2
_chemical_formula_sum 'Eu1 Th1 Mg2'
_space_group_name_H-M_alt 'P 4/m m m'
_space_group_IT_number 123
_space_group_name_Hall '-P 4 2'
_cell_length_a 3.830
_cell_length_b 3.830
_cell_length_c 8.177
_cell_angle_alpha 90.00
_cell_angle_beta 90.00
_cell_angle_gamma 90.00
loop_
_atom_site_label
_atom_site_type_symbol
_atom_site_fract_x
_atom_site_fract_y
_atom_site_fract_z
_atom_site_occupancy
Eu1 Eu 0.000 0.000 0.000 1
Th1 Th 0.000 0.000 0.500 1
Mg1 Mg 0.500 0.500 0.259 1
```

Calculated values
D(E_F): 1.82 states/eV per atom

Bottom line: two, by a margin of 79 meV/atom.